Arrangement w

Below is a relaxed YNiRu2 crystal, with properties calculated at the PBE level.

CIF file:
```
data_YNiRu2
_chemical_formula_sum 'Y2 Ni2 Ru4'
_cell_length_a 4.095
_cell_length_b 4.095
_cell_length_c 7.632
_cell_angle_alpha 90.00
_cell_angle_beta 90.00
_cell_angle_gamma 90.00
_symmetry_space_group_name_H-M 'I -4 m 2'
_symmetry_Int_Tables_number 119
_symmetry_space_group_name_Hall 'I -4 -2'
loop_
_atom_site_label
_atom_site_type_symbol
_atom_site_fract_x
_atom_site_fract_y
_atom_site_fract_z
Y1 Y 0.000 0.000 0.000
Ni1 Ni 0.000 0.500 0.750
Ru1 Ru 0.000 0.000 0.500
Ru2 Ru 0.000 0.500 0.250
```

Values from the calculation:
- Volume: 128 Å³ per cell

Arrangement x

Below is a relaxed YNiRu2 crystal, with properties calculated at the PBE level.

CIF file:
```
data_YNiRu2
_chemical_formula_sum 'Y4 Ni4 Ru8'
_cell_length_a 4.009
_cell_length_b 4.009
_cell_length_c 18.303
_cell_angle_alpha 90.00
_cell_angle_beta 90.00
_cell_angle_gamma 90.00
_symmetry_space_group_name_H-M 'I -4 2 d'
_symmetry_Int_Tables_number 122
_symmetry_space_group_name_Hall 'I -4 2bw'
loop_
_atom_site_label
_atom_site_type_symbol
_atom_site_fract_x
_atom_site_fract_y
_atom_site_fract_z
Y1 Y 0.000 0.000 0.000
Ni1 Ni 0.000 0.000 0.500
Ru1 Ru 0.161 0.250 0.625
```

Values from the calculation:
- Volume: 294 Å³ per cell

Result of the stability comparison: arrangement x is the least stable of them.

Arrangement w

Below is a relaxed YNiRu2 crystal, with properties calculated at the PBE level.

CIF file:
```
data_YNiRu2
_chemical_formula_sum 'Y2 Ni2 Ru4'
_cell_length_a 9.025
_cell_length_b 3.060
_cell_length_c 4.899
_cell_angle_alpha 90.00
_cell_angle_beta 104.10
_cell_angle_gamma 90.00
_symmetry_space_group_name_H-M 'C 1 2/m 1'
_symmetry_Int_Tables_number 12
loop_
_symmetry_equiv_pos_as_xyz
'x,y,z'
'-x,-y,-z'
'-x,y,-z'
'x,-y,z'
'x+1/2,y+1/2,z'
'-x+1/2,-y+1/2,-z'
'-x+1/2,y+1/2,-z'
'x+1/2,-y+1/2,z'
loop_
_atom_site_label
_atom_site_type_symbol
_atom_site_fract_x
_atom_site_fract_y
_atom_site_fract_z
Y1 Y 0.000 0.000 0.000
Ni1 Ni 0.000 0.500 0.500
Ru1 Ru 0.230 0.000 0.696
```

Values from the calculation:
- Volume: 131 Å³ per cell

Arrangement x

Below is a relaxed YNiRu2 crystal, with properties calculated at the PBE level.

CIF file:
```
data_YNiRu2
_chemical_formula_sum 'Y1 Ni1 Ru2'
_cell_length_a 2.917
_cell_length_b 3.743
_cell_length_c 5.973
_cell_angle_alpha 90.00
_cell_angle_beta 90.00
_cell_angle_gamma 90.00
_symmetry_space_group_name_H-M 'P m m 2'
_symmetry_Int_Tables_number 25
loop_
_symmetry_equiv_pos_as_xyz
'x,y,z'
'-x,-y,z'
'-x,y,z'
'x,-y,z'
loop_
_atom_site_label
_atom_site_type_symbol
_atom_site_fract_x
_atom_site_fract_y
_atom_site_fract_z
Y1 Y 0.000 0.000 0.000
Ni1 Ni 0.500 0.500 0.269
Ru1 Ru 0.000 0.000 0.497
Ru2 Ru 0.500 0.500 0.686
```

Values from the calculation:
- Volume: 65 Å³ per cell

Result of the stability comparison: arrangement w is the least stable of them.

Arrangement w

Below is a relaxed YNiRu2 crystal, with properties calculated at the PBE level.

CIF file:
```
data_YNiRu2
_chemical_formula_sum 'Y1 Ni1 Ru2'
_cell_length_a 2.981
_cell_length_b 4.197
_cell_length_c 5.412
_cell_angle_alpha 90.00
_cell_angle_beta 105.74
_cell_angle_gamma 90.00
_symmetry_space_group_name_H-M 'P 1 m 1'
_symmetry_Int_Tables_number 6
loop_
_symmetry_equiv_pos_as_xyz
'x,y,z'
'x,-y,z'
loop_
_atom_site_label
_atom_site_type_symbol
_atom_site_fract_x
_atom_site_fract_y
_atom_site_fract_z
Y1 Y 0.000 0.000 0.000
Ni1 Ni 0.601 0.500 0.207
Ru1 Ru 0.310 0.500 0.630
Ru2 Ru 0.732 0.000 0.481
```

Values from the calculation:
- Volume: 65 Å³ per cell

Arrangement x

Below is a relaxed YNiRu2 crystal, with properties calculated at the PBE level.

CIF file:
```
data_YNiRu2
_chemical_formula_sum 'Y3 Ni3 Ru6'
_cell_length_a 3.1174
_cell_length_b 3.1174
_cell_length_c 24.0416
_cell_angle_alpha 90.00
_cell_angle_beta 90.00
_cell_angle_gamma 120.00
_symmetry_space_group_name_H-M 'R -3 m'
_symmetry_Int_Tables_number 166
_symmetry_space_group_name_Hall '-R 3 2"'
loop_
_atom_site_label
_atom_site_type_symbol
_atom_site_fract_x
_atom_site_fract_y
_atom_site_fract_z
Y1 Y 0.0000 0.0000 0.0000
Ni1 Ni 0.0000 0.0000 0.5000
Ru1 Ru 0.0000 0.0000 0.2392
```

Values from the calculation:
- Volume: 202 Å³ per cell

Arrangement y

Below is a relaxed YNiRu2 crystal, with properties calculated at the PBE level.

CIF file:
```
data_YNiRu2
_chemical_formula_sum 'Y3 Ni3 Ru6'
_cell_length_a 2.8804
_cell_length_b 2.8804
_cell_length_c 27.0677
_cell_angle_alpha 90.00
_cell_angle_beta 90.00
_cell_angle_gamma 120.00
_symmetry_space_group_name_H-M 'R 3 m'
_symmetry_Int_Tables_number 160
_symmetry_space_group_name_Hall 'R 3 -2"'
loop_
_atom_site_label
_atom_site_type_symbol
_atom_site_fract_x
_atom_site_fract_y
_atom_site_fract_z
Y1 Y 0.0000 0.0000 0.0000
Ni1 Ni 0.0000 0.0000 0.7543
Ru1 Ru 0.0000 0.0000 0.2373
Ru2 Ru 0.0000 0.0000 0.4972
```

Values from the calculation:
- Volume: 194 Å³ per cell

Arrangement z

Below is a relaxed YNiRu2 crystal, with properties calculated at the PBE level.

CIF file:
```
data_YNiRu2
_chemical_formula_sum 'Y2 Ni2 Ru4'
_cell_length_a 8.956
_cell_length_b 3.108
_cell_length_c 5.016
_cell_angle_alpha 90.00
_cell_angle_beta 103.75
_cell_angle_gamma 90.00
_symmetry_space_group_name_H-M 'C 1 m 1'
_symmetry_Int_Tables_number 8
loop_
_symmetry_equiv_pos_as_xyz
'x,y,z'
'x,-y,z'
'x+1/2,y+1/2,z'
'x+1/2,-y+1/2,z'
loop_
_atom_site_label
_atom_site_type_symbol
_atom_site_fract_x
_atom_site_fract_y
_atom_site_fract_z
Y1 Y 0.000 0.000 0.000
Ni1 Ni 0.238 0.000 0.726
Ru1 Ru 0.262 0.500 0.360
Ru2 Ru 0.498 0.000 0.491
```

Values from the calculation:
- Volume: 136 Å³ per cell

Result of the stability comparison: arrangement x is the least stable of them.

Arrangement w

Below is a relaxed YNiRu2 crystal, with properties calculated at the PBE level.

CIF file:
```
data_YNiRu2
_chemical_formula_sum 'Y1 Ni1 Ru2'
_cell_length_a 3.187
_cell_length_b 3.187
_cell_length_c 6.442
_cell_angle_alpha 90.00
_cell_angle_beta 90.00
_cell_angle_gamma 90.00
_symmetry_space_group_name_H-M 'P 4/m m m'
_symmetry_Int_Tables_number 123
_symmetry_space_group_name_Hall '-P 4 2'
loop_
_atom_site_label
_atom_site_type_symbol
_atom_site_fract_x
_atom_site_fract_y
_atom_site_fract_z
Y1 Y 0.000 0.000 0.000
Ni1 Ni 0.000 0.000 0.500
Ru1 Ru 0.500 0.500 0.303
```

Values from the calculation:
- Volume: 65 Å³ per cell

Arrangement x

Below is a relaxed YNiRu2 crystal, with properties calculated at the PBE level.

CIF file:
```
data_YNiRu2
_chemical_formula_sum 'Y2 Ni2 Ru4'
_cell_length_a 2.953
_cell_length_b 4.473
_cell_length_c 9.726
_cell_angle_alpha 90.00
_cell_angle_beta 90.00
_cell_angle_gamma 90.00
_symmetry_space_group_name_H-M 'I m m m'
_symmetry_Int_Tables_number 71
_symmetry_space_group_name_Hall '-I 2 2'
loop_
_atom_site_label
_atom_site_type_symbol
_atom_site_fract_x
_atom_site_fract_y
_atom_site_fract_z
Y1 Y 0.000 0.000 0.000
Ni1 Ni 0.000 0.000 0.500
Ru1 Ru 0.000 0.500 0.217
```

Values from the calculation:
- Volume: 128 Å³ per cell

Arrangement y

Below is a relaxed YNiRu2 crystal, with properties calculated at the PBE level.

CIF file:
```
data_YNiRu2
_chemical_formula_sum 'Y2 Ni2 Ru4'
_cell_length_a 3.947
_cell_length_b 3.947
_cell_length_c 8.323
_cell_angle_alpha 90.00
_cell_angle_beta 90.00
_cell_angle_gamma 90.00
_symmetry_space_group_name_H-M 'I 4/m m m'
_symmetry_Int_Tables_number 139
_symmetry_space_group_name_Hall '-I 4 2'
loop_
_atom_site_label
_atom_site_type_symbol
_atom_site_fract_x
_atom_site_fract_y
_atom_site_fract_z
Y1 Y 0.000 0.000 0.000
Ni1 Ni 0.000 0.000 0.500
Ru1 Ru 0.000 0.500 0.250
```

Values from the calculation:
- Volume: 130 Å³ per cell

Arrangement z

Below is a relaxed YNiRu2 crystal, with properties calculated at the PBE level.

CIF file:
```
data_YNiRu2
_chemical_formula_sum 'Y2 Ni2 Ru4'
_cell_length_a 4.875
_cell_length_b 6.499
_cell_length_c 4.400
_cell_angle_alpha 90.00
_cell_angle_beta 90.00
_cell_angle_gamma 90.00
_symmetry_space_group_name_H-M 'C m m m'
_symmetry_Int_Tables_number 65
_symmetry_space_group_name_Hall '-C 2 2'
loop_
_atom_site_label
_atom_site_type_symbol
_atom_site_fract_x
_atom_site_fract_y
_atom_site_fract_z
Y1 Y 0.000 0.000 0.000
Ni1 Ni 0.000 0.500 0.000
Ru1 Ru 0.000 0.307 0.500
```

Values from the calculation:
- Volume: 139 Å³ per cell

Result of the stability comparison: arrangement y is the least stable of them.

Arrangement w

Below is a relaxed YNi2Ru crystal, with properties calculated at the PBE level.

CIF file:
```
data_YNi2Ru
_chemical_formula_sum 'Y1 Ni2 Ru1'
_cell_length_a 3.220
_cell_length_b 3.220
_cell_length_c 6.042
_cell_angle_alpha 90.00
_cell_angle_beta 90.00
_cell_angle_gamma 90.00
_symmetry_space_group_name_H-M 'P 4 m m'
_symmetry_Int_Tables_number 99
loop_
_symmetry_equiv_pos_as_xyz
'x,y,z'
'-y,x,z'
'-x,-y,z'
'y,-x,z'
'-x,y,z'
'y,x,z'
'x,-y,z'
'-y,-x,z'
loop_
_atom_site_label
_atom_site_type_symbol
_atom_site_fract_x
_atom_site_fract_y
_atom_site_fract_z
Y1 Y 0.000 0.000 0.000
Ni1 Ni 0.000 0.000 0.491
Ni2 Ni 0.500 0.500 0.283
Ru1 Ru 0.500 0.500 0.685
```

Values from the calculation:
- Volume: 63 Å³ per cell

Arrangement x

Below is a relaxed YNi2Ru crystal, with properties calculated at the PBE level.

CIF file:
```
data_YNi2Ru
_chemical_formula_sum 'Y4 Ni8 Ru4'
_cell_length_a 6.290
_cell_length_b 6.290
_cell_length_c 6.290
_cell_angle_alpha 90.00
_cell_angle_beta 90.00
_cell_angle_gamma 90.00
_symmetry_space_group_name_H-M 'F -4 3 m'
_symmetry_Int_Tables_number 216
_symmetry_space_group_name_Hall 'F -4 2 3'
loop_
_atom_site_label
_atom_site_type_symbol
_atom_site_fract_x
_atom_site_fract_y
_atom_site_fract_z
Y1 Y 0.000 0.000 0.000
Ni1 Ni 0.000 0.000 0.500
Ni2 Ni 0.250 0.250 0.250
Ru1 Ru 0.250 0.250 0.750
```

Values from the calculation:
- Volume: 249 Å³ per cell

Arrangement y

Below is a relaxed YNi2Ru crystal, with properties calculated at the PBE level.

CIF file:
```
data_YNi2Ru
_chemical_formula_sum 'Y3 Ni6 Ru3'
_cell_length_a 2.8546
_cell_length_b 2.8546
_cell_length_c 26.4674
_cell_angle_alpha 90.00
_cell_angle_beta 90.00
_cell_angle_gamma 120.00
_symmetry_space_group_name_H-M 'R -3 m'
_symmetry_Int_Tables_number 166
_symmetry_space_group_name_Hall '-R 3 2"'
loop_
_atom_site_label
_atom_site_type_symbol
_atom_site_fract_x
_atom_site_fract_y
_atom_site_fract_z
Y1 Y 0.0000 0.0000 0.0000
Ni1 Ni 0.0000 0.0000 0.2413
Ru1 Ru 0.0000 0.0000 0.5000
```

Values from the calculation:
- Volume: 187 Å³ per cell

Result of the stability comparison: arrangement y is the least stable of them.

Arrangement w

Below is a relaxed YNi2Ru crystal, with properties calculated at the PBE level.

CIF file:
```
data_YNi2Ru
_chemical_formula_sum 'Y4 Ni8 Ru4'
_cell_length_a 6.285
_cell_length_b 6.285
_cell_length_c 6.285
_cell_angle_alpha 90.00
_cell_angle_beta 90.00
_cell_angle_gamma 90.00
_symmetry_space_group_name_H-M 'F m -3 m'
_symmetry_Int_Tables_number 225
_symmetry_space_group_name_Hall '-F 4 2 3'
loop_
_atom_site_label
_atom_site_type_symbol
_atom_site_fract_x
_atom_site_fract_y
_atom_site_fract_z
Y1 Y 0.000 0.000 0.000
Ni1 Ni 0.250 0.250 0.250
Ru1 Ru 0.000 0.000 0.500
```

Values from the calculation:
- Volume: 248 Å³ per cell

Arrangement x

Below is a relaxed YNi2Ru crystal, with properties calculated at the PBE level.

CIF file:
```
data_YNi2Ru
_chemical_formula_sum 'Y2 Ni4 Ru2'
_cell_length_a 4.052
_cell_length_b 4.052
_cell_length_c 7.481
_cell_angle_alpha 90.00
_cell_angle_beta 90.00
_cell_angle_gamma 90.00
_symmetry_space_group_name_H-M 'I 4/m m m'
_symmetry_Int_Tables_number 139
_symmetry_space_group_name_Hall '-I 4 2'
loop_
_atom_site_label
_atom_site_type_symbol
_atom_site_fract_x
_atom_site_fract_y
_atom_site_fract_z
Y1 Y 0.000 0.000 0.000
Ni1 Ni 0.000 0.500 0.250
Ru1 Ru 0.000 0.000 0.500
```

Values from the calculation:
- Volume: 123 Å³ per cell

Result of the stability comparison: arrangement w is the least stable of them.